(1)
An optimized crystal structure of RbZrSbI2, computed with GGA-PBE.

energy above the most stable polymorph in this dataset: 0.00 kcal/mol of atoms
size of the total moment: 0.0 μB per formula unit
DFT total energy: -3.97 eV/atom
DOS(E_F): 0.587 states/eV per atom
uncorrected formation energy: -0.6263 eV/atom

Structure (CIF):
```
data_RbZrSbI2
_chemical_formula_sum 'Rb1 Zr1 Sb1 I2'
_space_group_name_H-M_alt 'P 4/m m m'
_space_group_IT_number 123
_space_group_name_Hall '-P 4 2'
_cell_length_a 5.964
_cell_length_b 5.964
_cell_length_c 5.610
_cell_angle_alpha 90.00
_cell_angle_beta 90.00
_cell_angle_gamma 90.00
loop_
_atom_site_label
_atom_site_type_symbol
_atom_site_fract_x
_atom_site_fract_y
_atom_site_fract_z
Rb1 Rb 0.000 0.000 0.000
Zr1 Zr 0.500 0.500 0.500
Sb1 Sb 0.500 0.500 0.000
I1 I 0.000 0.500 0.500
```

=====

(2)
An optimized crystal structure of RbZrSb2I, computed with GGA-PBE.

energy above the most stable polymorph in this dataset: 0.00 kcal/mol of atoms
size of the total moment: 0.0 μB per formula unit
DFT total energy: -4.29 eV/atom
DOS(E_F): 0.482 states/eV per atom
uncorrected formation energy: -0.4272 eV/atom

Structure (CIF):
```
data_RbZrSb2I
_chemical_formula_sum 'Rb1 Zr1 Sb2 I1'
_space_group_name_H-M_alt 'P 4/m m m'
_space_group_IT_number 123
_space_group_name_Hall '-P 4 2'
_cell_length_a 5.560
_cell_length_b 5.560
_cell_length_c 6.322
_cell_angle_alpha 90.00
_cell_angle_beta 90.00
_cell_angle_gamma 90.00
loop_
_atom_site_label
_atom_site_type_symbol
_atom_site_fract_x
_atom_site_fract_y
_atom_site_fract_z
Rb1 Rb 0.000 0.000 0.000
Zr1 Zr 0.500 0.500 0.500
Sb1 Sb 0.000 0.500 0.500
I1 I 0.500 0.500 0.000
```

=====

(3)
An optimized crystal structure of Rb6Sc3I14, computed with GGA-PBE.

size of the total moment: 1.1 μB per formula unit
DFT total energy: -3.35 eV/atom
DOS(E_F): 0.465 states/eV per atom
uncorrected formation energy: -1.3308 eV/atom

Structure (CIF):
```
data_Rb6Sc3I14
_chemical_formula_sum 'Rb6 Sc3 I14'
_space_group_name_H-M_alt 'P 3'
_space_group_IT_number 143
_cell_length_a 13.2696
_cell_length_b 13.2696
_cell_length_c 7.4779
_cell_angle_alpha 90.00
_cell_angle_beta 90.00
_cell_angle_gamma 120.00
loop_
_space_group_symop_operation_xyz
'x,y,z'
'-y,x-y,z'
'-x+y,-x,z'
loop_
_atom_site_label
_atom_site_type_symbol
_atom_site_fract_x
_atom_site_fract_y
_atom_site_fract_z
Rb1 Rb 0.0287 0.5665 0.0000
Rb2 Rb 0.3090 0.1045 0.4987
Sc1 Sc 0.0000 0.0000 0.9139
Sc2 Sc 0.3333 0.6667 0.4199
Sc3 Sc 0.6667 0.3333 0.7759
I1 I 0.0000 0.0000 0.2851
I2 I 0.0810 0.8580 0.7836
I3 I 0.1875 0.4437 0.2882
I4 I 0.3333 0.6667 0.7911
I5 I 0.4557 0.1967 0.9949
I6 I 0.5319 0.4087 0.5525
```

=====

(4)
An optimized crystal structure of Rb3ScI6, computed with GGA-PBE.

energy above the most stable polymorph in this dataset: 1.27 kcal/mol of atoms
size of the total moment: 0.0 μB per formula unit
DFT total energy: -3.19 eV/atom
DOS(E_F): 0.000 states/eV per atom
uncorrected formation energy: -1.3382 eV/atom

Structure (CIF):
```
data_Rb3ScI6
_chemical_formula_sum 'Rb12 Sc4 I24'
_space_group_name_H-M_alt 'F m -3 m'
_space_group_IT_number 225
_space_group_name_Hall '-F 4 2 3'
_cell_length_a 12.703
_cell_length_b 12.703
_cell_length_c 12.703
_cell_angle_alpha 90.00
_cell_angle_beta 90.00
_cell_angle_gamma 90.00
loop_
_atom_site_label
_atom_site_type_symbol
_atom_site_fract_x
_atom_site_fract_y
_atom_site_fract_z
Rb1 Rb 0.000 0.000 0.000
Rb2 Rb 0.250 0.250 0.250
Sc1 Sc 0.000 0.000 0.500
I1 I 0.000 0.000 0.273
```

=====

(5)
An optimized crystal structure of Rb2ScI5, computed with GGA-PBE.

energy above the most stable polymorph in this dataset: 0.00 kcal/mol of atoms
size of the total moment: 0.0 μB per formula unit
DFT total energy: -3.36 eV/atom
DOS(E_F): 0.000 states/eV per atom
uncorrected formation energy: -1.3571 eV/atom

Structure (CIF):
```
data_Rb2ScI5
_chemical_formula_sum 'Rb8 Sc4 I20'
_space_group_name_H-M_alt 'P n m a'
_space_group_IT_number 62
_cell_length_a 10.662
_cell_length_b 8.203
_cell_length_c 16.622
_cell_angle_alpha 90.00
_cell_angle_beta 90.00
_cell_angle_gamma 90.00
loop_
_space_group_symop_operation_xyz
'x,y,z'
'-x,-y,-z'
'-x+1/2,-y,z+1/2'
'x+1/2,y,-z+1/2'
'x+1/2,-y+1/2,-z+1/2'
'-x+1/2,y+1/2,z+1/2'
'-x,y+1/2,-z'
'x,-y+1/2,z'
loop_
_atom_site_label
_atom_site_type_symbol
_atom_site_fract_x
_atom_site_fract_y
_atom_site_fract_z
Rb1 Rb 0.053 0.250 0.193
Rb2 Rb 0.197 0.750 0.411
Sc1 Sc 0.192 0.750 0.057
I1 I 0.000 0.000 0.000
I2 I 0.051 0.750 0.205
I3 I 0.147 0.502 0.605
I4 I 0.223 0.250 0.390
```

=====

(6)
An optimized crystal structure of Rb3ScI8, computed with GGA-PBE.

size of the total moment: 0.0 μB per formula unit
DFT total energy: -2.74 eV/atom
DOS(E_F): 1.201 states/eV per atom
uncorrected formation energy: -0.9347 eV/atom

Structure (CIF):
```
data_Rb3ScI8
_chemical_formula_sum 'Rb6 Sc2 I16'
_space_group_name_H-M_alt 'I 4/m m m'
_space_group_IT_number 139
_space_group_name_Hall '-I 4 2'
_cell_length_a 8.228
_cell_length_b 8.228
_cell_length_c 17.097
_cell_angle_alpha 90.00
_cell_angle_beta 90.00
_cell_angle_gamma 90.00
loop_
_atom_site_label
_atom_site_type_symbol
_atom_site_fract_x
_atom_site_fract_y
_atom_site_fract_z
Rb1 Rb 0.000 0.000 0.000
Rb2 Rb 0.000 0.500 0.250
Sc1 Sc 0.000 0.000 0.500
I1 I 0.220 0.220 0.391
```

=====

(7)
An optimized crystal structure of Rb4ScI5, computed with GGA-PBE.

size of the total moment: 1.8 μB per formula unit
DFT total energy: -2.95 eV/atom
DOS(E_F): 0.774 states/eV per atom
uncorrected formation energy: -1.1512 eV/atom

Structure (CIF):
```
data_Rb4ScI5
_chemical_formula_sum 'Rb8 Sc2 I10'
_space_group_name_H-M_alt 'I 4'
_space_group_IT_number 79
_cell_length_a 11.302
_cell_length_b 11.302
_cell_length_c 7.528
_cell_angle_alpha 90.00
_cell_angle_beta 90.00
_cell_angle_gamma 90.00
loop_
_space_group_symop_operation_xyz
'x,y,z'
'-y,x,z'
'-x,-y,z'
'y,-x,z'
'x+1/2,y+1/2,z+1/2'
'-y+1/2,x+1/2,z+1/2'
'-x+1/2,-y+1/2,z+1/2'
'y+1/2,-x+1/2,z+1/2'
loop_
_atom_site_label
_atom_site_type_symbol
_atom_site_fract_x
_atom_site_fract_y
_atom_site_fract_z
Rb1 Rb 0.091 0.702 0.000
Sc1 Sc 0.000 0.000 0.509
I1 I 0.000 0.000 0.911
I2 I 0.087 0.738 0.495
```

=====

(8)
An optimized crystal structure of Rb3ScI6, computed with GGA-PBE.

energy above the most stable polymorph in this dataset: 0.44 kcal/mol of atoms
size of the total moment: 0.0 μB per formula unit
DFT total energy: -3.23 eV/atom
DOS(E_F): 0.000 states/eV per atom
uncorrected formation energy: -1.3743 eV/atom

Structure (CIF):
```
data_Rb3ScI6
_chemical_formula_sum 'Rb18 Sc6 I36'
_space_group_name_H-M_alt 'R -3'
_space_group_IT_number 148
_space_group_name_Hall '-R 3'
_cell_length_a 14.4361
_cell_length_b 14.4361
_cell_length_c 16.3649
_cell_angle_alpha 90.00
_cell_angle_beta 90.00
_cell_angle_gamma 120.00
loop_
_atom_site_label
_atom_site_type_symbol
_atom_site_fract_x
_atom_site_fract_y
_atom_site_fract_z
Rb1 Rb 0.0511 0.7833 0.2157
Sc1 Sc 0.0000 0.0000 0.0000
Sc2 Sc 0.0000 0.0000 0.5000
I1 I 0.0372 0.8565 0.8979
I2 I 0.0829 0.8924 0.6035
```